1.
Below is an optimized crystal structure of CrIr2Rh, with properties calculated at the PBE-GGA level.

a b c (Å): 3.796 2.700 6.047
angles (deg): 63.49 90.00 90.00
Sites, in units of the cell vectors:
Ir 0.000 0.007 0.993
Ir 0.500 0.251 0.249
Cr 0.500 0.748 0.752
Rh 0.000 0.494 0.505

The space group is Pmm2 (25).

2.
Below is an optimized crystal structure of BaCaAl2, with properties calculated at the PBE-GGA level.

a b c (Å): 6.918 6.918 6.918
angles (deg): 146.19 135.65 56.91
Sites, in units of the cell vectors:
Ba 0.533 0.533 0.000
Ca 0.252 0.752 0.500
Al 0.928 0.928 0.000
Al 0.787 0.287 0.500

The space group is Imm2 (44).

3.
Below is an optimized crystal structure of ScCuTeI2, with properties calculated at the PBE-GGA level.

a b c (Å): 5.287 5.287 5.359
angles (deg): 90.00 90.00 90.00
Sites, in units of the cell vectors:
I 0.500 0.000 0.000
I 0.000 0.500 0.000
Sc 0.500 0.500 0.500
Te 0.000 0.000 0.500
Cu 0.000 0.000 0.000

The calculation puts the energy relative to the elements, uncorrected at 73 meV per atom. The space group is P4/mmm (123).

The records above yield electronic total energy values of -8.77; -2.95; -3.26 eV/atom, respectively.